Computed, not measured: an optimized crystal structure of CsPd2Au at the PBE level of DFT.

- Total energy: -3.738 eV per atom
- Magnetization: 0.0 μB per formula unit
- Calculated density: 7.51 Mg/m³
- Calculated volume: 30.0 A^3/atom

POSCAR file:
```
CsPd2Au
1.0
-2.096 4.085 -0.990
-2.850 -0.108 5.584
6.279 4.017 3.283
Cs Pd Au
2 4 2
direct
0.500 0.999 0.000
0.000 0.001 0.500
0.000 0.501 0.668
0.500 0.499 0.832
0.000 0.501 0.332
0.500 0.499 0.168
0.500 0.500 0.500
0.000 0.500 0.000
```